DyPuZn2 (PBE-GGA, relaxed); crystal system = cubic; magnetization = 6.2 μB/f.u.; N(E_F) = 1.354 states/eV/atom; theoretical density = 9.82 g cm⁻³
1.0
0.0000 3.5686 3.5686
3.5686 0.0000 3.5686
3.5686 3.5686 0.0000
Dy Pu Zn
1 1 2
direct
0.0000 0.0000 0.0000
0.5000 0.5000 0.5000
0.2500 0.2500 0.2500
0.7500 0.7500 0.7500

---

MgZrScMo (PBE-GGA, relaxed); crystal system = cubic; magnetization = 0.0 μB/f.u.; N(E_F) = 0.608 states/eV/atom; theoretical density = 5.37 g cm⁻³
1.0
0.0000 3.4104 3.4104
3.4104 0.0000 3.4104
3.4104 3.4104 0.0000
Mg Zr Sc Mo
1 1 1 1
direct
0.0000 0.0000 0.0000
0.2500 0.2500 0.2500
0.7500 0.7500 0.7500
0.5000 0.5000 0.5000

---

SrLa3Os (PBE-GGA, relaxed); crystal system = monoclinic; magnetization = 0.0 μB/f.u.; N(E_F) = 0.998 states/eV/atom; theoretical density = 6.86 g cm⁻³
1.0
8.5355 -2.9702 0.0000
8.5355 2.9702 0.0000
-1.3113 0.0000 6.6273
Sr La Os
2 6 2
direct
0.0785 0.0785 0.2998
0.9215 0.9215 0.7002
0.1894 0.1894 0.9020
0.3019 0.3019 0.4733
0.4670 0.4670 0.2145
0.5330 0.5330 0.7855
0.6981 0.6981 0.5267
0.8106 0.8106 0.0980
0.3527 0.3527 0.8876
0.6473 0.6473 0.1124

---

Ac4Sn (PBE-GGA, relaxed); crystal system = orthorhombic; magnetization = 0.0 μB/f.u.; N(E_F) = 1.428 states/eV/atom; theoretical density = 8.19 g cm⁻³
1.0
0.0000 8.4317 3.6827
6.7007 0.0000 3.6827
6.7007 8.4317 0.0000
Ac Sn
8 2
direct
0.2126 0.8424 0.0120
0.2342 0.7658 0.3789
0.2380 0.3171 0.0374
0.3171 0.2380 0.4076
0.6289 0.8711 0.4842
0.7658 0.2342 0.6211
0.8424 0.2126 0.9329
0.8711 0.6289 0.0158
0.4190 0.4190 0.5810
0.6690 0.6690 0.8310

---

ErCo3Ge (PBE-GGA, relaxed); crystal system = orthorhombic; magnetization = 3.8 μB/f.u.; N(E_F) = 0.933 states/eV/atom; theoretical density = 7.98 g cm⁻³
1.0
2.2583 -8.7049 0.0000
2.2583 8.7049 0.0000
0.0000 0.0000 4.4092
Er Co Ge
2 6 2
direct
0.1024 0.8976 0.7500
0.8976 0.1024 0.2500
0.0123 0.4703 0.7500
0.4703 0.0123 0.2500
0.5000 0.5000 0.0000
0.5000 0.5000 0.5000
0.5297 0.9877 0.7500
0.9877 0.5297 0.2500
0.3843 0.6157 0.7500
0.6157 0.3843 0.2500

---

Li2Pm2Zn (PBE-GGA, relaxed); crystal system = tetragonal; magnetization = 0.1 μB/f.u.; N(E_F) = 1.042 states/eV/atom; theoretical density = 4.80 g cm⁻³
1.0
-1.8506 1.8506 9.3281
1.8506 -1.8506 9.3281
1.8506 1.8506 -9.3281
Li Pm Zn
2 2 1
direct
0.2500 0.7500 0.5000
0.7500 0.2500 0.5000
0.0924 0.0924 0.0000
0.9076 0.9076 0.0000
0.5000 0.5000 0.0000

---

Number 1: calculated formation energy -177 meV per atom. Number 2: calculated formation energy 67 meV per atom. Number 3: calculated formation energy 25 meV per atom. Number 4: calculated formation energy -174 meV per atom. Number 5: calculated formation energy 45 meV per atom. Number 6: calculated formation energy 23 meV per atom.